[1]
VASP calculation (PBE) on a geometry-optimized CdW3 structure.

```
CdW3
1.0
5.423 -0.002 -0.006
-2.481 4.822 -0.006
-2.481 -4.066 2.592
W Cd
3 1
Direct
0.000 0.500 0.500 W
0.500 0.000 0.500 W
0.500 0.500 0.000 W
0.000 0.000 0.000 Cd
```

Properties
energy of formation: 47.7 kJ per mole of atoms
uncorrected energy: -9.450 eV/atom
SG: R-3m (166)

***

[2]
VASP calculation (PBE) on a geometry-optimized NiBr3 structure.

```
NiBr3
1.0
5.713 0.000 0.000
0.000 5.713 0.000
0.000 0.000 5.713
Ni Br
2 6
Direct
0.000 0.000 0.000 Ni
0.500 0.500 0.500 Ni
0.750 0.500 0.000 Br
0.250 0.500 0.000 Br
0.000 0.750 0.500 Br
0.000 0.250 0.500 Br
0.500 0.000 0.250 Br
0.500 0.000 0.750 Br
```

Properties
formation energy from raw total energies: 627.7 meV per atom
uncorrected energy: -2.072 eV/atom
SG: Pm-3n (223)

***

[3]
VASP calculation (PBE) on a geometry-optimized Tm2AgHg6 structure.

```
Tm2AgHg6
1.0
-1.502 5.538 -1.058
-5.238 -2.637 -6.367
-0.462 0.788 5.937
Tm Ag Hg
2 1 6
Direct
0.679 0.676 0.351 Tm
0.321 0.324 0.649 Tm
0.000 0.000 0.000 Ag
0.169 0.501 0.335 Hg
0.831 0.167 0.665 Hg
0.831 0.499 0.665 Hg
0.500 0.164 0.000 Hg
0.169 0.833 0.335 Hg
0.500 0.836 0.000 Hg
```

Properties
energy of formation: -17.2 kJ per mole of atoms
uncorrected energy: -1.690 eV/atom
SG: C2/m (12)

***

[4]
VASP calculation (PBE) on a geometry-optimized CdPb2Au2 structure.

```
CdPb2Au2
1.0
3.933 0.000 0.000
0.000 3.933 0.000
1.967 1.967 8.391
Pb Au Cd
2 2 1
Direct
0.392 0.392 0.216 Pb
0.608 0.608 0.784 Pb
0.750 0.250 0.500 Au
0.250 0.750 0.500 Au
0.000 0.000 0.000 Cd
```

Properties
energy of formation: 5.4 kJ per mole of atoms
uncorrected energy: -2.922 eV/atom
SG: I4/mmm (139)